{
  "formula": "KWNO2",
  "functional": "GGA+U",
  "state": "optimized geometry",
  "lattice_angstrom": [[-2.785, -2.844, -0.574], [2.897, -2.681, -0.770], [0.161, -0.937, 3.864]],
  "species": ["W", "K", "N", "O", "O"],
  "fractional_positions": [[0.000, 0.000, 0.000], [0.500, 0.500, 0.500], [0.000, 0.000, 0.500], [0.500, 0.000, 0.000], [0.000, 0.500, 0.000]],
  "final_energy_ev_per_fu": -33.1,
  "n_ef_per_ev_atom": 0.212,
  "crystal_system": "tetragonal"
}